(1)
15
Lattice="-0.2195 6.3764 -2.7428 -4.2805 -4.9392 -2.3478 -8.5251 3.3557 8.4834" Properties=species:S:1:pos:R:3 comment="GGA-PBE Ba3Al2Sn9Hg, optimized geometry" magmom_total_mub_per_fu=0.00 dos_at_fermi_per_ev_cell=8.12 sg="P-3m1 (164)" ef_ev_per_atom=-0.124 pbc="T T T"
Al -8.7206 5.4180 4.5014
Sn -2.1402 -2.4696 -1.1739
Sn -6.4585 -1.6550 0.5047
Sn -0.1098 3.1882 -1.3714
Al -4.3045 -0.6250 -1.1086
Sn -6.4709 3.6663 4.0846
Hg -4.2625 1.6779 4.2417
Ba -9.2588 1.3251 3.8215
Sn -4.5911 0.4996 1.5289
Sn -8.4339 4.2933 1.8639
Ba -3.7663 3.4678 -0.4287
Sn -6.5666 6.4480 2.8881
Sn -2.2500 0.7186 -2.5453
Ba 0.0000 0.0000 0.0000
Sn -6.5542 1.1266 -0.6918

***

(2)
10
Lattice="4.7635 0.0000 0.0000 0.0000 4.7635 0.0000 0.0000 0.0000 11.4407" Properties=species:S:1:pos:R:3 comment="GGA-PBE Ba2Al4SnHg3, optimized geometry" magmom_total_mub_per_fu=0.00 dos_at_fermi_per_ev_cell=4.44 sg="P-4m2 (115)" ef_ev_per_atom=-0.310 pbc="T T T"
Sn 2.3817 2.3817 5.7203
Al 0.0000 0.0000 0.0000
Ba 0.0000 2.3817 8.6021
Ba 2.3817 0.0000 2.8386
Al 0.0000 2.3817 4.1613
Hg 0.0000 2.3817 1.4603
Hg 0.0000 0.0000 5.7203
Al 2.3817 2.3817 0.0000
Al 2.3817 0.0000 7.2794
Hg 2.3817 0.0000 9.9804

***

(3)
10
Lattice="5.0107 0.0000 0.0000 0.0000 5.0107 0.0000 0.0000 0.0000 11.9149" Properties=species:S:1:pos:R:3 comment="GGA-PBE Ba2AlSn4Hg3, optimized geometry" magmom_total_mub_per_fu=0.00 dos_at_fermi_per_ev_cell=3.27 sg="P-4m2 (115)" ef_ev_per_atom=-0.356 pbc="T T T"
Sn 0.0000 2.5053 4.4909
Al 2.5053 2.5053 5.9574
Ba 2.5053 0.0000 3.0611
Sn 2.5053 0.0000 7.4240
Sn 0.0000 0.0000 0.0000
Sn 2.5053 2.5053 0.0000
Ba 0.0000 2.5053 8.8538
Hg 0.0000 2.5053 1.6573
Hg 2.5053 0.0000 10.2576
Hg 0.0000 0.0000 5.9574